Here is a relaxed V2Cu3O11 crystal from Alexandria via LeMat-Bulk. Energies are from GGA+U.

POSCAR file:
```
V2Cu3O11
1.0
-1.922 -3.646 -4.595
-1.653 -5.912 0.647
-7.343 1.086 0.846
O Cu V
11 3 2
direct
0.803 0.329 0.813 O
0.944 0.944 0.526 O
0.671 0.197 0.187 O
0.666 0.666 0.139 O
0.849 0.849 0.908 O
0.329 0.803 0.813 O
0.500 0.500 0.500 O
0.334 0.334 0.861 O
0.056 0.056 0.474 O
0.197 0.671 0.187 O
0.151 0.151 0.092 O
0.000 0.500 0.000 Cu
0.500 0.000 0.000 Cu
0.000 0.000 0.000 Cu
0.506 0.506 0.257 V
0.494 0.494 0.743 V
```

- Theoretical density: 3.4 g cm⁻³
- Total DFT energy (no corrections): -97.06 eV for the cell shown